VASP calculation (PBE) on NaCaGdPb after structural relaxation.

Lattice parameters (Å, degrees): 5.540 5.540 5.540 60.00 60.00 60.00
Site moments in Bohr magnetons follow the coordinates.
Positions (direct):
Ca  0.000  0.000  0.000  -0.02
Na  0.250  0.250  0.250  0.00
Pb  0.750  0.750  0.750  0.04
Gd  0.500  0.500  0.500  -7.08

- formation energy (eV/atom) = -0.230
- SG = F-43m (216)
- DOS(E_F) (states/eV/atom) = 1.47
- total magnetic moment (μB per cell) = 7.3
- density (g cm⁻³) = 5.9

VASP calculation (PBE) on SrCaGdNbO6 after structural relaxation.

Lattice parameters (Å, degrees): 5.987 5.987 5.987 60.00 60.00 60.00
Site moments in Bohr magnetons follow the coordinates.
Positions (direct):
Sr  0.750  0.750  0.750  0.00
Ca  0.250  0.250  0.250  0.00
O  0.264  0.264  0.736  0.00
O  0.736  0.736  0.264  0.00
O  0.264  0.736  0.736  0.00
O  0.736  0.264  0.736  0.00
O  0.736  0.264  0.264  0.00
O  0.264  0.736  0.264  0.00
Nb  0.500  0.500  0.500  0.02
Gd  0.000  0.000  0.000  6.89

- energy relative to the elements, uncorrected (eV per atom) = -2.87
- SG = F-43m (216)
- energy relative to the lowest polymorph listed for this composition (meV/atom) = 101
- DOS(E_F) (states/eV/atom) = 0.00
- total magnetic moment (μB per cell) = 7.0
- density (g cm⁻³) = 5.2

VASP calculation (PBE) on SrCaGdNbO6 after structural relaxation.

Lattice parameters (Å, degrees): 5.821 5.821 8.523 90.00 90.00 90.00
Site moments in Bohr magnetons follow the coordinates.
Positions (direct):
Gd  0.000  0.000  0.000  6.90
Gd  0.500  0.500  0.500  6.90
O  0.158  0.692  0.486  0.00
O  0.692  0.842  0.514  0.00
O  0.808  0.342  0.014  0.00
O  0.500  0.500  0.237  0.00
O  0.658  0.808  0.986  0.00
O  0.192  0.658  0.014  0.00
O  0.500  0.500  0.763  0.00
O  0.000  0.000  0.737  0.00
O  0.842  0.308  0.486  0.00
O  0.000  0.000  0.263  0.00
O  0.342  0.192  0.986  0.00
O  0.308  0.158  0.514  0.00
Nb  0.500  0.500  0.000  0.02
Nb  0.000  0.000  0.500  0.02
Sr  0.000  0.500  0.750  0.00
Sr  0.500  0.000  0.250  0.00
Ca  0.000  0.500  0.250  0.00
Ca  0.500  0.000  0.750  0.00

- energy relative to the elements, uncorrected (eV per atom) = -2.97
- SG = P-4n2 (118)
- energy relative to the lowest polymorph listed for this composition (meV/atom) = 0
- DOS(E_F) (states/eV/atom) = 0.00
- total magnetic moment (μB per cell) = 14.0
- density (g cm⁻³) = 5.4

VASP calculation (PBE) on CaNdGd after structural relaxation.

Lattice parameters (Å, degrees): 3.704 3.704 8.288 102.91 102.91 90.00
Site moments in Bohr magnetons follow the coordinates.
Positions (direct):
Ca  0.000  0.000  0.999  -0.01
Gd  0.325  0.325  0.649  7.23
Nd  0.676  0.676  0.351  -0.07

- formation energy (eV/atom) = 0.037
- SG = I4mm (107)
- energy relative to the lowest polymorph listed for this composition (meV/atom) = 0
- DOS(E_F) (states/eV/atom) = 1.30
- total magnetic moment (μB per cell) = 7.4
- density (g cm⁻³) = 5.3

VASP calculation (PBE) on CaNdGd after structural relaxation.

Lattice parameters (Å, degrees): 3.687 3.687 9.178 90.00 90.00 120.00
Site moments in Bohr magnetons follow the coordinates.
Positions (direct):
Nd  0.333  0.667  0.653  -0.05
Ca  0.000  0.000  0.002  -0.01
Gd  0.667  0.333  0.345  7.21

- formation energy (eV/atom) = 0.044
- SG = P3m1 (156)
- energy relative to the lowest polymorph listed for this composition (meV/atom) = 7
- DOS(E_F) (states/eV/atom) = 1.40
- total magnetic moment (μB per cell) = 7.4
- density (g cm⁻³) = 5.2

VASP calculation (PBE) on Ca2NdGd after structural relaxation.

Lattice parameters (Å, degrees): 4.147 4.147 8.592 90.00 90.00 90.00
Site moments in Bohr magnetons follow the coordinates.
Positions (direct):
Ca  0.000  0.000  0.748  0.01
Ca  0.000  0.000  0.252  0.01
Gd  0.500  0.500  0.500  7.24
Nd  0.500  0.500  0.000  -0.10

- formation energy (eV/atom) = 0.131
- SG = P4/mmm (123)
- energy relative to the lowest polymorph listed for this composition (meV/atom) = 0
- DOS(E_F) (states/eV/atom) = 1.63
- total magnetic moment (μB per cell) = 7.5
- density (g cm⁻³) = 4.3

VASP calculation (PBE) on Ca2NdGd after structural relaxation.

Lattice parameters (Å, degrees): 3.611 3.611 13.412 82.26 82.26 60.00
Site moments in Bohr magnetons follow the coordinates.
Positions (direct):
Nd  0.000  0.000  0.000  -0.12
Ca  0.911  0.911  0.267  -0.04
Ca  0.089  0.089  0.733  -0.04
Gd  0.500  0.500  0.500  -7.38

- formation energy (eV/atom) = 0.198
- SG = R-3m (166)
- energy relative to the lowest polymorph listed for this composition (meV/atom) = 67
- DOS(E_F) (states/eV/atom) = 1.67
- total magnetic moment (μB per cell) = 8.4
- density (g cm⁻³) = 4.2

VASP calculation (PBE) on Ca2NdGd after structural relaxation.

Lattice parameters (Å, degrees): 5.930 5.930 5.930 60.00 60.00 60.00
Site moments in Bohr magnetons follow the coordinates.
Positions (direct):
Ca  0.250  0.250  0.250  0.00
Ca  0.750  0.750  0.750  0.00
Gd  0.000  0.000  0.000  7.14
Nd  0.500  0.500  0.500  -0.02

- formation energy (eV/atom) = 0.137
- SG = Fm-3m (225)
- energy relative to the lowest polymorph listed for this composition (meV/atom) = 5
- DOS(E_F) (states/eV/atom) = 1.78
- total magnetic moment (μB per cell) = 7.4
- density (g cm⁻³) = 4.3

VASP calculation (PBE) on Ca2NdGd after structural relaxation.

Lattice parameters (Å, degrees): 5.529 5.189 5.189 90.00 90.00 90.00
Site moments in Bohr magnetons follow the coordinates.
Positions (direct):
Nd  0.500  0.000  0.000  -0.21
Ca  0.000  0.500  0.000  -0.04
Ca  0.000  0.000  0.500  -0.04
Gd  0.500  0.500  0.500  -7.32

- formation energy (eV/atom) = 0.134
- SG = P4/mmm (123)
- energy relative to the lowest polymorph listed for this composition (meV/atom) = 3
- DOS(E_F) (states/eV/atom) = 2.24
- total magnetic moment (μB per cell) = 8.4
- density (g cm⁻³) = 4.3

VASP calculation (PBE) on CaPrNdGd after structural relaxation.

Lattice parameters (Å, degrees): 5.873 5.873 5.873 60.00 60.00 60.00
Site moments in Bohr magnetons follow the coordinates.
Positions (direct):
Ca  0.250  0.250  0.250  0.01
Nd  0.000  0.000  0.000  0.08
Pr  0.500  0.500  0.500  0.08
Gd  0.750  0.750  0.750  7.25

- formation energy (eV/atom) = 0.111
- SG = F-43m (216)
- DOS(E_F) (states/eV/atom) = 1.86
- total magnetic moment (μB per cell) = 7.9
- density (g cm⁻³) = 5.6

VASP calculation (PBE) on CaNdGdRu after structural relaxation.

Lattice parameters (Å, degrees): 5.244 5.244 5.244 60.00 60.00 60.00
Site moments in Bohr magnetons follow the coordinates.
Positions (direct):
Ca  0.750  0.750  0.750  0.02
Ru  0.250  0.250  0.250  -0.14
Nd  0.500  0.500  0.500  0.02
Gd  0.000  0.000  0.000  7.09

- formation energy (eV/atom) = 0.107
- SG = F-43m (216)
- DOS(E_F) (states/eV/atom) = 0.92
- total magnetic moment (μB per cell) = 7.2
- density (g cm⁻³) = 7.2

VASP calculation (PBE) on CaNdGdSc after structural relaxation.

Lattice parameters (Å, degrees): 5.682 5.682 5.682 60.00 60.00 60.00
Site moments in Bohr magnetons follow the coordinates.
Positions (direct):
Ca  0.250  0.250  0.250  0.00
Nd  0.500  0.500  0.500  -0.05
Gd  0.000  0.000  0.000  7.13
Sc  0.750  0.750  0.750  -0.04

- formation energy (eV/atom) = 0.141
- SG = F-43m (216)
- DOS(E_F) (states/eV/atom) = 1.56
- total magnetic moment (μB per cell) = 7.2
- density (g cm⁻³) = 4.9

VASP calculation (PBE) on SrCaNdGd after structural relaxation.

Lattice parameters (Å, degrees): 6.052 6.052 6.052 60.00 60.00 60.00
Site moments in Bohr magnetons follow the coordinates.
Positions (direct):
Nd  0.750  0.750  0.750  0.00
Ca  0.500  0.500  0.500  -0.01
Sr  0.250  0.250  0.250  -0.01
Gd  0.000  0.000  0.000  7.09

- formation energy (eV/atom) = 0.167
- SG = F-43m (216)
- DOS(E_F) (states/eV/atom) = 1.72
- total magnetic moment (μB per cell) = 7.2
- density (g cm⁻³) = 4.5

VASP calculation (PBE) on CaTbNdGd after structural relaxation.

Lattice parameters (Å, degrees): 5.809 5.809 5.809 60.00 60.00 60.00
Site moments in Bohr magnetons follow the coordinates.
Positions (direct):
Nd  0.000  0.000  0.000  -0.08
Ca  0.250  0.250  0.250  -0.01
Tb  0.500  0.500  0.500  -0.10
Gd  0.750  0.750  0.750  -7.23

- formation energy (eV/atom) = 0.135
- SG = F-43m (216)
- DOS(E_F) (states/eV/atom) = 1.78
- total magnetic moment (μB per cell) = 7.9
- density (g cm⁻³) = 6.0

VASP calculation (PBE) on CaNdGdTm after structural relaxation.

Lattice parameters (Å, degrees): 5.785 5.785 5.785 60.00 60.00 60.00
Site moments in Bohr magnetons follow the coordinates.
Positions (direct):
Tm  0.750  0.750  0.750  0.02
Gd  0.000  0.000  0.000  7.17
Ca  0.250  0.250  0.250  0.01
Nd  0.500  0.500  0.500  -0.03

- formation energy (eV/atom) = 0.122
- SG = F-43m (216)
- DOS(E_F) (states/eV/atom) = 1.59
- total magnetic moment (μB per cell) = 7.4
- density (g cm⁻³) = 6.2

VASP calculation (PBE) on CaGd3Ni after structural relaxation.

Lattice parameters (Å, degrees): 5.427 5.427 5.427 90.00 90.00 90.00
Site moments in Bohr magnetons follow the coordinates.
Positions (direct):
Ni  0.000  0.000  0.000  0.04
Gd  0.500  0.000  0.000  7.19
Gd  0.000  0.000  0.500  7.19
Gd  0.000  0.500  0.000  7.19
Ca  0.500  0.500  0.500  0.04

- formation energy (eV/atom) = -0.065
- SG = Pm-3m (221)
- DOS(E_F) (states/eV/atom) = 2.18
- total magnetic moment (μB per cell) = 22.9
- density (g cm⁻³) = 5.9

VASP calculation (PBE) on CaGdNiRu after structural relaxation.

Lattice parameters (Å, degrees): 4.819 4.819 4.819 60.00 60.00 60.00
Site moments in Bohr magnetons follow the coordinates.
Positions (direct):
Ni  0.250  0.250  0.250  -0.04
Ru  0.750  0.750  0.750  -0.07
Ca  0.000  0.000  0.000  0.01
Gd  0.500  0.500  0.500  7.02

- formation energy (eV/atom) = -0.047
- SG = F-43m (216)
- DOS(E_F) (states/eV/atom) = 0.58
- total magnetic moment (μB per cell) = 7.1
- density (g cm⁻³) = 7.5

VASP calculation (PBE) on CaGdO after structural relaxation.

Lattice parameters (Å, degrees): 3.506 3.506 6.123 90.00 90.00 120.00
Site moments in Bohr magnetons follow the coordinates.
Positions (direct):
Gd  0.333  0.667  0.569  7.43
O  0.667  0.333  0.326  0.00
Ca  0.000  0.000  0.105  0.02

- energy relative to the elements, uncorrected (eV per atom) = -1.75
- SG = P3m1 (156)
- DOS(E_F) (states/eV/atom) = 0.68
- total magnetic moment (μB per cell) = 8.0
- density (g cm⁻³) = 5.4

VASP calculation (PBE) on CaGd2O after structural relaxation.

Lattice parameters (Å, degrees): 3.584 3.584 9.686 79.34 79.34 60.00
Site moments in Bohr magnetons follow the coordinates.
Positions (direct):
Ca  0.000  0.000  0.000  0.00
O  0.500  0.500  0.500  -0.03
Gd  0.880  0.880  0.360  7.05
Gd  0.120  0.120  0.640  7.05

- energy relative to the elements, uncorrected (eV per atom) = -1.19
- SG = R-3m (166)
- DOS(E_F) (states/eV/atom) = 0.99
- total magnetic moment (μB per cell) = 14.6
- density (g cm⁻³) = 5.8

VASP calculation (PBE) on Ca2GdTaO6 after structural relaxation.

Lattice parameters (Å, degrees): 5.897 5.656 9.950 55.24 90.00 90.00
Site moments in Bohr magnetons follow the coordinates.
Positions (direct):
Ca  0.948  0.731  0.755  0.00
Ca  0.552  0.731  0.255  0.00
Ca  0.052  0.269  0.245  0.00
Ca  0.448  0.269  0.745  0.00
Ta  0.000  0.000  0.000  0.01
Ta  0.500  0.000  0.500  0.01
O  0.784  0.244  0.431  0.00
O  0.947  0.885  0.231  -0.01
O  0.284  0.756  0.069  0.00
O  0.319  0.344  0.445  0.00
O  0.181  0.344  0.945  0.00
O  0.681  0.656  0.555  0.00
O  0.819  0.656  0.055  0.00
O  0.053  0.115  0.769  -0.01
O  0.216  0.756  0.569  0.00
O  0.716  0.244  0.931  0.00
O  0.447  0.115  0.269  -0.01
O  0.553  0.885  0.731  -0.01
Gd  0.500  0.500  0.000  6.91
Gd  0.000  0.500  0.500  6.91

- energy relative to the elements, uncorrected (eV per atom) = -3.15
- SG = P2_1/c (14)
- DOS(E_F) (states/eV/atom) = 0.00
- total magnetic moment (μB per cell) = 14.0
- density (g cm⁻³) = 6.3